A plane-wave DFT calculation with PBE was carried out for a relaxed structure of Ho7Hg2Pb2.

```
Ho7Hg2Pb2
1.0
-2.1225 -6.2097 -2.3660
6.2426 -0.6340 -3.9361
3.5813 -1.1778 5.8694
Ho Hg Pb
7 2 2
direct
0.9998 0.2750 0.5003
0.5003 0.7250 0.9998
0.0002 0.7250 0.4997
0.4997 0.2750 0.0002
0.0000 0.0000 0.0000
0.5002 0.7535 0.4998
0.4998 0.2465 0.5002
0.7150 0.0000 0.2850
0.2850 0.0000 0.7150
0.8142 0.5000 0.8142
0.1858 0.5000 0.1858
```

* energy of formation from the pure elements: -0.09 eV per atom
* V: 345 Å³ per cell
* calculated density: 9.49 Mg/m³

---

A plane-wave DFT calculation with PBE was carried out for a relaxed structure of LiCaSnAu2.

```
LiCaSnAu2
1.0
-0.7475 -4.1643 -3.1300
4.8567 -0.3932 -0.6368
0.2893 -3.1904 4.1756
Ca Au Sn Li
1 2 1 1
direct
0.5000 0.5000 0.5000
0.0000 0.0000 0.5000
0.5000 0.0000 0.0000
0.0000 0.0000 0.0000
0.0000 0.5000 0.0000
```

* energy of formation from the pure elements: -0.17 eV per atom
* V: 136 Å³ per cell
* calculated density: 6.83 Mg/m³

---

A plane-wave DFT calculation with PBE was carried out for a relaxed structure of LaSi2Sn2.

```
LaSi2Sn2
1.0
4.4133 0.0000 0.0000
0.0000 4.4133 0.0000
2.2067 2.2067 6.4142
Si Sn La
2 2 1
direct
0.4123 0.4123 0.1753
0.5877 0.5877 0.8247
0.7500 0.2500 0.5000
0.2500 0.7500 0.5000
0.0000 0.0000 0.0000
```

* polymorph energy (0 for the lowest one): 0.024 eV per atom
* V: 125 Å³ per cell
* formation energy without anion corrections: -0.146 eV/atom
* calculated density: 5.75 Mg/m³